# 1
Y2ReW: relaxed, PBE-GGA.

Cell: 5.910 5.910 4.659 Å, 66.79 66.79 33.88°
Element x y z (fractional)
Re: 0.750 0.750 0.750
W: 0.250 0.250 0.250
Y: 0.030 0.030 0.970
Y: 0.470 0.470 0.530

Output
- Spin magnetization: 0.0 μB per formula unit
- Density of states at the Fermi level: 3.6 states/eV per cell
- Formation energy from the elements: 582.8 meV per atom
- Energy above the lowest structure with this stoichiometry: 0.471 eV per atom
- Raw total energy: -8.9996 eV per atom

***

# 2
Y2ReW: relaxed, PBE-GGA.

Cell: 10.042 10.042 10.042 Å, 18.80 18.80 18.80°
Element x y z (fractional)
Re: 0.488 0.488 0.488
W: 0.764 0.764 0.764
Y: 0.011 0.011 0.011
Y: 0.236 0.236 0.236

Output
- Spin magnetization: 0.0 μB per formula unit
- Density of states at the Fermi level: 4.4 states/eV per cell
- Formation energy from the elements: 499.1 meV per atom
- Energy above the lowest structure with this stoichiometry: 0.387 eV per atom
- Raw total energy: -9.0832 eV per atom

***

# 3
YReW2: relaxed, PBE-GGA.

Cell: 4.674 4.674 3.226 Å, 90.00 90.00 90.00°
Element x y z (fractional)
Re: 0.000 0.500 0.500
W: 0.000 0.000 0.000
W: 0.500 0.500 0.000
Y: 0.500 0.000 0.500

Output
- Spin magnetization: 0.0 μB per formula unit
- Density of states at the Fermi level: 4.2 states/eV per cell
- Formation energy from the elements: 555.5 meV per atom
- Energy above the lowest structure with this stoichiometry: 0.269 eV per atom
- Raw total energy: -10.6491 eV per atom

***

# 4
YRe2W: relaxed, PBE-GGA.

Cell: 5.428 5.428 4.830 Å, 63.38 63.38 34.14°
Element x y z (fractional)
Re: 0.018 0.018 0.983
Re: 0.482 0.482 0.517
W: 0.750 0.750 0.750
Y: 0.250 0.250 0.250

Output
- Spin magnetization: 0.0 μB per formula unit
- Density of states at the Fermi level: 3.2 states/eV per cell
- Formation energy from the elements: 378.6 meV per atom
- Energy above the lowest structure with this stoichiometry: 0.231 eV per atom
- Raw total energy: -10.6997 eV per atom

***

# 5
YReW2: relaxed, PBE-GGA.

Cell: 2.837 2.837 9.497 Å, 90.00 90.00 110.50°
Element x y z (fractional)
Re: 0.500 0.500 0.750
W: 0.000 0.000 0.973
W: 0.000 0.000 0.527
Y: 0.500 0.500 0.250

Output
- Spin magnetization: 0.0 μB per formula unit
- Density of states at the Fermi level: 2.9 states/eV per cell
- Formation energy from the elements: 428.1 meV per atom
- Energy above the lowest structure with this stoichiometry: 0.141 eV per atom
- Raw total energy: -10.7765 eV per atom

***

# 6
YRe2W: relaxed, PBE-GGA.

Cell: 4.559 2.862 5.427 Å, 79.36 90.00 90.00°
Element x y z (fractional)
Re: 0.000 0.006 0.012
Re: 0.500 0.257 0.253
W: 0.000 0.486 0.481
Y: 0.500 0.751 0.754

Output
- Spin magnetization: 0.0 μB per formula unit
- Density of states at the Fermi level: 2.0 states/eV per cell
- Formation energy from the elements: 379.2 meV per atom
- Energy above the lowest structure with this stoichiometry: 0.231 eV per atom
- Raw total energy: -10.6992 eV per atom

***

# 7
YReW2: relaxed, PBE-GGA.

Cell: 2.872 4.466 5.720 Å, 90.00 90.00 90.00°
Element x y z (fractional)
Re: 0.500 0.500 0.750
W: 0.000 0.000 0.967
W: 0.000 0.000 0.533
Y: 0.500 0.500 0.250

Output
- Spin magnetization: 0.0 μB per formula unit
- Density of states at the Fermi level: 4.3 states/eV per cell
- Formation energy from the elements: 675.3 meV per atom
- Energy above the lowest structure with this stoichiometry: 0.388 eV per atom
- Raw total energy: -10.5294 eV per atom

***

# 8
YRe2W: relaxed, PBE-GGA.

Cell: 9.262 9.262 9.262 Å, 18.68 18.68 18.68°
Element x y z (fractional)
Re: 0.992 0.992 0.992
Re: 0.508 0.508 0.508
W: 0.250 0.250 0.250
Y: 0.750 0.750 0.750

Output
- Spin magnetization: 0.0 μB per formula unit
- Density of states at the Fermi level: 3.0 states/eV per cell
- Formation energy from the elements: 481.0 meV per atom
- Energy above the lowest structure with this stoichiometry: 0.333 eV per atom
- Raw total energy: -10.5973 eV per atom